The following is a GGA-PBE calculation of crystalline CaAuSN2 at its relaxed geometry, from the Alexandria database.

abc: 4.4557 4.4557 5.6326
angles: 90.00 90.00 90.00
With the nearest neighbours (Å) after each atom.
Atoms (fractional coordinates):
Au: 0.5000 0.5000 0.5000  4 S 3.15
Ca: 0.0000 0.0000 0.0000  4 N 2.23
S: 0.0000 0.0000 0.5000  2 Ca 2.82, 4 Au 3.15
N: 0.0000 0.5000 0.0000  2 Ca 2.23
N: 0.5000 0.0000 0.0000  2 Ca 2.23

Uncorrected energy = -3.70 eV per atom
Raw formation energy = 1.51 eV per atom
E above lowest polymorph = 3.78 eV per formula unit
Volume = 111.8 Å³ per cell